Material: RbLiEr
Method: DFT, GGA-PBE
State: relaxed

Computed properties:
Symmetry: No. 216
VASP energy, eV/atom: -1.6260

Unit cell a=5.669 b=5.669 c=5.669 alpha=60.00 beta=60.00 gamma=60.00
Fractional positions:
Rb 0.000 0.000 0.000
Li 0.750 0.750 0.750
Er 0.500 0.500 0.500